DFT (PBE) results for an optimized crystal structure of LaTa2Cr.

It has space group Fm-3m (No. 225), with a = 6.681 Å, b = 6.681 Å, c = 6.681 Å, α = 90.00°, β = 90.00° and γ = 90.00°. The inequivalent atoms are La at (0.000, 0.000, 0.000), Ta at (0.250, 0.250, 0.250) and Cr at (0.000, 0.000, 0.500).

The value obtained for the distance to the lowest polymorph of the same formula is 0.373 eV/atom. The total energy comes out at -8.89 eV/atom.